Record 1
Entry from Alexandria: a geometry-optimized MoPtAu2 structure (PBE).

Properties
Calculated formation energy ... 0.256 eV per atom
DOS at the Fermi energy ... 0.598 states/eV per atom

a = 3.355 Å, b = 3.355 Å, c = 5.972 Å
α = 90.00°, β = 90.00°, γ = 90.00°
Fractional positions:
Au (0.000, 0.000, 0.999)
Au (0.000, 0.000, 0.501)
Mo (0.500, 0.500, 0.250)
Pt (0.500, 0.500, 0.750)


Record 2
Entry from Alexandria: a geometry-optimized MoPt3Au structure (PBE).

Properties
Calculated formation energy ... 1.204 eV per atom
DOS at the Fermi energy ... 1.058 states/eV per atom

a = 4.807 Å, b = 4.807 Å, c = 4.807 Å
α = 90.00°, β = 90.00°, γ = 90.00°
Fractional positions:
Pt (0.000, 0.500, 0.000)
Pt (0.000, 0.000, 0.500)
Pt (0.500, 0.000, 0.000)
Mo (0.000, 0.000, 0.000)
Au (0.500, 0.500, 0.500)


Record 3
Entry from Alexandria: a geometry-optimized Mo2PtAuS structure (PBE).

Properties
DOS at the Fermi energy ... 1.042 states/eV per atom

a = 4.446 Å, b = 4.442 Å, c = 4.446 Å
α = 90.00°, β = 90.00°, γ = 90.00°
Fractional positions:
Au (0.500, 0.500, 0.500)
Mo (0.000, 0.000, 0.500)
Mo (0.500, 0.000, 0.000)
S (0.000, 0.000, 0.000)
Pt (0.000, 0.500, 0.000)


Record 4
Entry from Alexandria: a geometry-optimized Pu2MoAu structure (PBE).

Properties
Calculated formation energy ... 0.007 eV per atom
DOS at the Fermi energy ... 2.691 states/eV per atom

a = 3.225 Å, b = 3.225 Å, c = 8.251 Å
α = 90.00°, β = 90.00°, γ = 90.00°
Site moments in Bohr magnetons follow the coordinates.
Fractional positions:
Pu (0.000, 0.000, 0.771)  5.08
Pu (0.000, 0.000, 0.229)  5.08
Au (0.500, 0.500, 0.500)  0.04
Mo (0.500, 0.500, 0.000)  -0.92


Record 5
Entry from Alexandria: a geometry-optimized Pu2MoAu structure (PBE).

Properties
Calculated formation energy ... 0.119 eV per atom
DOS at the Fermi energy ... 2.172 states/eV per atom

a = 4.248 Å, b = 4.456 Å, c = 4.456 Å
α = 90.00°, β = 90.00°, γ = 90.00°
Site moments in Bohr magnetons follow the coordinates.
Fractional positions:
Mo (0.500, 0.000, 0.000)  -1.34
Pu (0.000, 0.500, 0.000)  5.17
Pu (0.000, 0.000, 0.500)  5.17
Au (0.500, 0.500, 0.500)  0.08


Record 6
Entry from Alexandria: a geometry-optimized RbMo2Au structure (PBE).

Properties
Calculated formation energy ... 1.332 eV per atom
DOS at the Fermi energy ... 1.009 states/eV per atom

a = 4.425 Å, b = 4.425 Å, c = 10.975 Å
α = 78.37°, β = 78.37°, γ = 90.00°
Fractional positions:
Mo (0.968, 0.625, 0.250)
Mo (0.782, 0.125, 0.250)
Mo (0.875, 0.032, 0.750)
Mo (0.375, 0.218, 0.750)
Au (0.000, 0.000, 0.000)
Au (0.750, 0.250, 0.500)
Rb (0.500, 0.500, 0.000)
Rb (0.250, 0.750, 0.500)


Record 7
Entry from Alexandria: a geometry-optimized RbMoAu structure (PBE).

Properties
Calculated formation energy ... 0.576 eV per atom
DOS at the Fermi energy ... 0.444 states/eV per atom

a = 8.969 Å, b = 3.280 Å, c = 10.754 Å
α = 90.00°, β = 90.00°, γ = 90.00°
Fractional positions:
Au (0.177, 0.250, 0.200)
Au (0.323, 0.750, 0.700)
Au (0.823, 0.750, 0.800)
Au (0.677, 0.250, 0.300)
Mo (0.974, 0.250, 0.425)
Mo (0.026, 0.750, 0.575)
Mo (0.526, 0.750, 0.925)
Mo (0.474, 0.250, 0.075)
Rb (0.366, 0.750, 0.395)
Rb (0.866, 0.750, 0.105)
Rb (0.134, 0.250, 0.895)
Rb (0.634, 0.250, 0.605)


Record 8
Entry from Alexandria: a geometry-optimized RbMo3Au structure (PBE).

Properties
Calculated formation energy ... 2.285 eV per atom
DOS at the Fermi energy ... 1.625 states/eV per atom

a = 5.304 Å, b = 5.304 Å, c = 5.304 Å
α = 90.00°, β = 90.00°, γ = 90.00°
Site moments in Bohr magnetons follow the coordinates.
Fractional positions:
Au (0.000, 0.000, 0.000)  0.24
Rb (0.500, 0.500, 0.500)  0.05
Mo (0.000, 0.000, 0.500)  3.17
Mo (0.000, 0.500, 0.000)  2.95
Mo (0.500, 0.000, 0.000)  2.84


Record 9
Entry from Alexandria: a geometry-optimized RbMo2Au structure (PBE).

Properties
Calculated formation energy ... 1.789 eV per atom
DOS at the Fermi energy ... 1.148 states/eV per atom

a = 4.744 Å, b = 4.744 Å, c = 4.744 Å
α = 60.00°, β = 60.00°, γ = 60.00°
Fractional positions:
Au (0.500, 0.500, 0.500)
Mo (0.750, 0.750, 0.750)
Mo (0.250, 0.250, 0.250)
Rb (0.000, 0.000, 0.000)


Record 10
Entry from Alexandria: a geometry-optimized RbMoAu structure (PBE).

Properties
Calculated formation energy ... 0.664 eV per atom
DOS at the Fermi energy ... 0.670 states/eV per atom

a = 13.280 Å, b = 5.239 Å, c = 4.949 Å
α = 90.00°, β = 90.00°, γ = 90.00°
Fractional positions:
Au (0.500, 0.000, 0.500)
Au (0.500, 0.500, 0.500)
Au (0.000, 0.500, 0.000)
Au (0.000, 0.000, 0.000)
Rb (0.766, 0.250, 0.973)
Rb (0.266, 0.250, 0.527)
Rb (0.734, 0.750, 0.473)
Rb (0.234, 0.750, 0.027)
Mo (0.003, 0.750, 0.501)
Mo (0.497, 0.250, 0.001)
Mo (0.503, 0.750, 0.999)
Mo (0.997, 0.250, 0.499)


Record 11
Entry from Alexandria: a geometry-optimized RbMoAu structure (PBE).

Properties
Calculated formation energy ... 0.530 eV per atom
DOS at the Fermi energy ... 0.545 states/eV per atom

a = 10.939 Å, b = 3.219 Å, c = 10.104 Å
α = 90.00°, β = 90.00°, γ = 90.00°
Fractional positions:
Rb (0.328, 0.250, 0.088)
Rb (0.672, 0.750, 0.912)
Rb (0.828, 0.250, 0.412)
Rb (0.172, 0.750, 0.588)
Mo (0.035, 0.750, 0.926)
Mo (0.465, 0.250, 0.426)
Mo (0.535, 0.750, 0.574)
Mo (0.965, 0.250, 0.074)
Au (0.589, 0.750, 0.244)
Au (0.089, 0.750, 0.256)
Au (0.411, 0.250, 0.756)
Au (0.911, 0.250, 0.744)


Record 12
Entry from Alexandria: a geometry-optimized RbMo3Au structure (PBE).

Properties
Calculated formation energy ... 3.128 eV per atom
DOS at the Fermi energy ... 0.762 states/eV per atom

a = 4.645 Å, b = 4.645 Å, c = 4.645 Å
α = 90.00°, β = 90.00°, γ = 90.00°
Fractional positions:
Au (0.500, 0.500, 0.500)
Rb (0.000, 0.000, 0.000)
Mo (0.000, 0.000, 0.500)
Mo (0.500, 0.000, 0.000)
Mo (0.000, 0.500, 0.000)


Record 13
Entry from Alexandria: a geometry-optimized RbSbMo2Au structure (PBE).

Properties
DOS at the Fermi energy ... 0.952 states/eV per atom

a = 5.009 Å, b = 5.369 Å, c = 5.009 Å
α = 90.00°, β = 90.00°, γ = 90.00°
Site moments in Bohr magnetons follow the coordinates.
Fractional positions:
Mo (0.000, 0.000, 0.500)  2.11
Mo (0.500, 0.000, 0.000)  2.29
Sb (0.500, 0.500, 0.500)  -0.09
Au (0.000, 0.500, 0.000)  0.03
Rb (0.000, 0.000, 0.000)  0.09


Record 14
Entry from Alexandria: a geometry-optimized RbMoWAu2 structure (PBE).

Properties
Calculated formation energy ... 2.063 eV per atom
DOS at the Fermi energy ... 0.845 states/eV per atom

a = 5.116 Å, b = 5.635 Å, c = 5.116 Å
α = 90.00°, β = 90.00°, γ = 90.00°
Site moments in Bohr magnetons follow the coordinates.
Fractional positions:
Mo (0.500, 0.500, 0.500)  3.90
Au (0.500, 0.000, 0.000)  -0.01
Au (0.000, 0.000, 0.500)  -0.01
W (0.000, 0.000, 0.000)  -0.40
Rb (0.000, 0.500, 0.000)  0.02


Record 15
Entry from Alexandria: a geometry-optimized ReMoAu structure (PBE).

Properties
Calculated formation energy ... 0.318 eV per atom
DOS at the Fermi energy ... 1.367 states/eV per atom

a = 2.802 Å, b = 2.802 Å, c = 7.140 Å
α = 90.00°, β = 90.00°, γ = 120.00°
Fractional positions:
Au (0.000, 0.000, 0.000)
Re (0.333, 0.667, 0.654)
Mo (0.667, 0.333, 0.345)


Record 16
Entry from Alexandria: a geometry-optimized ReMo2Au structure (PBE).

Properties
Calculated formation energy ... 0.334 eV per atom
DOS at the Fermi energy ... 1.045 states/eV per atom

a = 4.892 Å, b = 4.892 Å, c = 4.807 Å
α = 78.90°, β = 78.90°, γ = 34.64°
Fractional positions:
Mo (0.495, 0.495, 0.509)
Mo (0.005, 0.005, 0.991)
Au (0.250, 0.250, 0.250)
Re (0.750, 0.750, 0.750)


Record 17
Entry from Alexandria: a geometry-optimized ReMo2Au structure (PBE).

Properties
Calculated formation energy ... 0.242 eV per atom
DOS at the Fermi energy ... 0.604 states/eV per atom

a = 2.722 Å, b = 2.722 Å, c = 9.180 Å
α = 90.00°, β = 90.00°, γ = 108.12°
Fractional positions:
Re (0.000, 0.000, 0.486)
Au (0.500, 0.500, 0.751)
Mo (0.500, 0.500, 0.252)
Mo (0.000, 0.000, 0.011)


Record 18
Entry from Alexandria: a geometry-optimized ReMo2Au structure (PBE).

Properties
Calculated formation energy ... 0.350 eV per atom
DOS at the Fermi energy ... 1.623 states/eV per atom

a = 9.598 Å, b = 9.598 Å, c = 9.598 Å
α = 16.84°, β = 16.84°, γ = 16.84°
Fractional positions:
Au (0.751, 0.751, 0.751)
Mo (0.998, 0.998, 0.998)
Mo (0.248, 0.248, 0.248)
Re (0.504, 0.504, 0.504)


Record 19
Entry from Alexandria: a geometry-optimized ReMoAu3 structure (PBE).

Properties
Calculated formation energy ... 1.752 eV per atom
DOS at the Fermi energy ... 0.896 states/eV per atom

a = 5.005 Å, b = 5.005 Å, c = 5.005 Å
α = 90.00°, β = 90.00°, γ = 90.00°
Site moments in Bohr magnetons follow the coordinates.
Fractional positions:
Re (0.000, 0.000, 0.000)  -0.74
Mo (0.500, 0.500, 0.500)  3.64
Au (0.000, 0.500, 0.000)  -0.05
Au (0.000, 0.000, 0.500)  -0.11
Au (0.500, 0.000, 0.000)  -0.02


Record 20
Entry from Alexandria: a geometry-optimized ReMo2Au structure (PBE).

Properties
Calculated formation energy ... 0.484 eV per atom
DOS at the Fermi energy ... 1.393 states/eV per atom

a = 4.503 Å, b = 4.503 Å, c = 4.503 Å
α = 60.00°, β = 60.00°, γ = 60.00°
Fractional positions:
Re (0.250, 0.250, 0.250)
Mo (0.750, 0.750, 0.750)
Mo (0.000, 0.000, 0.000)
Au (0.500, 0.500, 0.500)


| no. | total energy (eV/atom) |
| --- | --- |
| 1 | -5.6003 |
| 2 | -5.2422 |
| 3 | -6.5378 |
| 4 | -10.6859 |
| 5 | -10.5738 |
| 6 | -5.1451 |
| 7 | -4.4498 |
| 8 | -5.0627 |
| 9 | -4.6880 |
| 10 | -4.3618 |
| 11 | -4.4949 |
| 12 | -4.2201 |
| 13 | -3.2626 |
| 14 | -4.1980 |
| 15 | -8.5338 |
| 16 | -9.0131 |
| 17 | -9.1047 |
| 18 | -8.9967 |
| 19 | -4.8703 |
| 20 | -8.8629 |